Computed, not measured: a crystal of KCoRe relaxed with PBEsol at the meta-GGA SCAN level of DFT.

Cell: 4.8494 4.8494 2.5136 Å, 90.00 90.00 120.00°
Space group P3m1 (No. 156)
Inequivalent atoms, fractional coordinates:
K (0.0000, 0.0000, 0.0000)
Co (0.6667, 0.3333, 0.4927)
Re (0.3333, 0.6667, 0.5059)

The magnetic moment comes out at 2.134 μB per formula unit. The density comes out at 9.2 g/cm3. As for the energy: -30.542 eV/atom. The value obtained for the density of states at the Fermi level is 1.1770 states/eV per atom.